## Co2TcPb (meta-GGA SCAN)

Data for Co2TcPb at its PBEsol-relaxed geometry.

The structure in POSCAR format:
```
Co2TcPb
1.0
4.071 0.000 0.000
0.000 4.071 0.000
0.000 0.000 3.434
Co Tc Pb
2 1 1
Cartesian
0.000 2.036 0.000
2.036 0.000 0.000
0.000 0.000 1.717
2.036 2.036 1.717
```

Values from the calculation:
DOS(E_F), states/eV/f.u.: 1.50
DFT formation energy, eV per atom: 0.502
E, eV/atom: -35.86
Space-group type: P4/mmm
V, Å³ per cell: 56.9



## ZrScNi6 (meta-GGA SCAN)

Data for ZrScNi6 at its PBEsol-relaxed geometry.

The structure in POSCAR format:
```
ZrScNi6
1.0
3.674 -5.188 0.000
3.674 5.188 0.000
0.000 0.000 10.369
Zr Sc Ni
4 4 24
Cartesian
0.000 0.000 2.567
0.000 0.000 7.801
3.674 2.600 5.184
3.674 -2.600 5.184
3.674 2.602 0.000
3.674 0.000 2.570
3.674 0.000 7.799
3.674 -2.602 0.000
0.000 0.000 0.000
0.000 0.000 5.184
1.842 1.301 1.291
1.842 1.301 9.078
1.842 1.292 3.884
1.842 1.292 6.485
3.674 2.590 2.587
3.674 2.590 7.782
1.842 -1.292 3.884
1.842 -1.292 6.485
1.842 -1.301 1.291
1.842 -1.301 9.078
3.674 0.000 0.000
3.674 0.000 5.184
5.506 1.301 1.291
5.506 1.301 9.078
5.507 1.292 3.884
5.507 1.292 6.485
3.674 -2.590 2.587
3.674 -2.590 7.782
5.507 -1.292 3.884
5.507 -1.292 6.485
5.506 -1.301 1.291
5.506 -1.301 9.078
```

Values from the calculation:
DOS(E_F), states/eV/f.u.: 5.04
DFT formation energy, eV per atom: -0.418
E, eV/atom: -18.17
Space-group type: Cmmm
V, Å³ per cell: 395.3



## CaZnSe2 (meta-GGA SCAN)

Data for CaZnSe2 at its PBEsol-relaxed geometry.

The structure in POSCAR format:
```
CaZnSe2
1.0
4.194 0.000 0.000
0.000 4.194 0.000
0.000 0.000 6.332
Ca Zn Se
1 1 2
Cartesian
0.000 0.000 0.000
2.097 2.097 3.166
0.000 2.097 4.494
2.097 0.000 1.837
```

Values from the calculation:
DOS(E_F), states/eV/f.u.: 0.00
E, eV/atom: -17.13
ΔE_f (raw), eV/f.u.: -5.2
Space-group type: P-4m2
V, Å³ per cell: 111.4



## KLi2Te (meta-GGA SCAN)

Data for KLi2Te at its PBEsol-relaxed geometry.

The structure in POSCAR format:
```
KLi2Te
1.0
-2.430 2.430 4.575
2.430 -2.430 4.575
2.430 2.430 -4.575
K Li Te
1 2 1
Cartesian
0.000 0.000 0.000
2.430 0.000 2.287
0.000 2.430 2.287
0.000 0.000 4.575
```

Values from the calculation:
DOS(E_F), states/eV/f.u.: 2.06
E, eV/atom: -13.08
ΔE_f (raw), eV/f.u.: -2.0
Space-group type: I4/mmm
V, Å³ per cell: 108.0



## Rb2TaAlSn (meta-GGA SCAN)

Data for Rb2TaAlSn at its PBEsol-relaxed geometry.

The structure in POSCAR format:
```
Rb2TaAlSn
1.0
6.469 0.000 0.000
0.000 6.469 0.000
0.000 0.000 5.103
Rb Ta Al Sn
2 1 1 1
Cartesian
0.000 3.235 0.000
3.235 0.000 0.000
0.000 0.000 2.551
3.235 3.235 0.000
3.235 3.235 2.551
```

Values from the calculation:
DOS(E_F), states/eV/f.u.: 4.24
DFT formation energy, eV per atom: 1.551
E, eV/atom: -28.80
Space-group type: P4/mmm
V, Å³ per cell: 213.6



## NiSb2Pb (meta-GGA SCAN)

Data for NiSb2Pb at its PBEsol-relaxed geometry.

The structure in POSCAR format:
```
NiSb2Pb
1.0
3.970 0.000 0.000
0.000 4.700 0.000
0.000 0.000 4.903
Ni Sb Pb
1 2 1
Cartesian
0.000 0.000 0.000
0.000 2.350 2.451
1.985 2.350 0.000
1.985 0.000 2.451
```

Values from the calculation:
DOS(E_F), states/eV/f.u.: 2.69
E, eV/atom: -41.11
ΔE_f (raw), eV/f.u.: 2.0
Space-group type: Pmmm
V, Å³ per cell: 91.5



## CoRh2 (meta-GGA SCAN)

Data for CoRh2 at its PBEsol-relaxed geometry.

The structure in POSCAR format:
```
CoRh2
1.0
2.632 0.000 0.000
0.000 2.632 0.000
0.000 0.000 10.814
Co Rh
2 4
Cartesian
0.000 0.000 1.755
0.000 0.000 9.059
0.000 0.000 5.407
1.316 1.316 0.000
1.316 1.316 3.494
1.316 1.316 7.320
```

Values from the calculation:
DOS(E_F), states/eV/f.u.: 3.13
DFT formation energy, eV per atom: 0.043
E, eV/atom: -28.24
Space-group type: P4/mmm
V, Å³ per cell: 74.9



## NbTlFe3 (meta-GGA SCAN)

Data for NbTlFe3 at its PBEsol-relaxed geometry.

The structure in POSCAR format:
```
NbTlFe3
1.0
4.508 0.000 0.000
0.000 4.508 0.000
0.000 0.000 4.508
Nb Tl Fe
1 1 3
Cartesian
0.000 0.000 0.000
2.254 2.254 2.254
0.000 0.000 2.254
0.000 2.254 0.000
2.254 0.000 0.000
```

Values from the calculation:
DOS(E_F), states/eV/f.u.: 4.03
DFT formation energy, eV per atom: 1.530
E, eV/atom: -30.45
Space-group type: Pm-3m
V, Å³ per cell: 91.6



## BaSnO3 (meta-GGA SCAN)

Data for BaSnO3 at its PBEsol-relaxed geometry.

The structure in POSCAR format:
```
BaSnO3
1.0
-2.923 4.133 2.925
2.923 -4.133 2.925
2.923 4.133 -2.925
Ba Sn O
2 2 6
Cartesian
0.000 2.067 0.001
2.923 2.067 2.924
2.923 0.000 0.000
0.000 0.000 2.925
1.461 4.083 -1.462
1.461 -0.050 1.462
2.923 2.067 0.070
0.000 2.067 2.855
-1.461 4.183 1.462
1.461 4.183 1.462
```

Values from the calculation:
DOS(E_F), states/eV/f.u.: 0.00
E, eV/atom: -21.25
ΔE_f (raw), eV/f.u.: -12.1
Space-group type: Imma
V, Å³ per cell: 141.3



## TlGa2H (meta-GGA SCAN)

Data for TlGa2H at its PBEsol-relaxed geometry.

The structure in POSCAR format:
```
TlGa2H
1.0
0.000 3.283 3.283
3.283 0.000 3.283
3.283 3.283 0.000
Tl Ga H
1 2 1
Cartesian
0.000 0.000 0.000
1.641 1.641 1.641
4.924 4.924 4.924
3.283 3.283 3.283
```

Values from the calculation:
DOS(E_F), states/eV/f.u.: 2.05
E, eV/atom: -26.51
Space-group type: Fm-3m
V, Å³ per cell: 70.8



## Ca2MgSi (meta-GGA SCAN)

Data for Ca2MgSi at its PBEsol-relaxed geometry.

The structure in POSCAR format:
```
Ca2MgSi
1.0
-2.338 2.338 10.444
2.338 -2.338 10.444
2.338 2.338 -10.444
Ca Mg Si
4 2 2
Cartesian
3.508 1.055 -2.611
1.055 1.169 2.611
-1.169 1.283 7.833
1.283 1.169 13.055
2.338 0.000 5.222
0.000 0.000 10.444
0.000 0.000 0.000
0.000 2.338 5.222
```

Values from the calculation:
DOS(E_F), states/eV/f.u.: 3.31
E, eV/atom: -8.22
ΔE_f (raw), eV/f.u.: 1.4
Space-group type: I-42d
V, Å³ per cell: 228.4



## Ca2ZrTc (meta-GGA SCAN)

Data for Ca2ZrTc at its PBEsol-relaxed geometry.

The structure in POSCAR format:
```
Ca2ZrTc
1.0
-1.745 2.771 5.221
1.745 -2.771 5.221
1.745 2.771 -5.221
Ca Zr Tc
2 1 1
Cartesian
0.000 0.000 0.000
0.000 2.771 2.092
1.745 0.000 3.134
0.000 0.000 4.844
```

Values from the calculation:
DOS(E_F), states/eV/f.u.: 3.33
DFT formation energy, eV per atom: 0.262
E, eV/atom: -21.01
Space-group type: Imm2
V, Å³ per cell: 101.0
E above lowest polymorph, meV per atom: 184



## Mg2InCu2 (meta-GGA SCAN)

Data for Mg2InCu2 at its PBEsol-relaxed geometry.

The structure in POSCAR format:
```
Mg2InCu2
1.0
-1.650 1.650 8.493
1.650 -1.650 8.493
1.650 1.650 -8.493
Mg In Cu
2 1 2
Cartesian
0.000 0.000 2.096
0.000 0.000 14.890
0.000 0.000 8.493
1.650 0.000 4.247
0.000 1.650 4.247
```

Values from the calculation:
DOS(E_F), states/eV/f.u.: 1.56
DFT formation energy, eV per atom: -0.010
E, eV/atom: -14.76
Space-group type: I4/mmm
V, Å³ per cell: 92.5



## CrCo2 (meta-GGA SCAN)

Data for CrCo2 at its PBEsol-relaxed geometry.

The structure in POSCAR format:
```
CrCo2
1.0
1.725 -5.157 0.000
1.725 5.157 0.000
0.000 0.000 3.444
Cr Co
2 4
Cartesian
1.725 4.249 2.583
1.725 -4.249 0.861
1.725 2.574 0.861
1.725 0.840 2.583
1.725 -0.840 0.861
1.725 -2.574 2.583
```

Values from the calculation:
DOS(E_F), states/eV/f.u.: 3.29
DFT formation energy, eV per atom: 0.255
E, eV/atom: -17.41
Space-group type: Cmcm
V, Å³ per cell: 61.3



## In2As2Cl2O5 (meta-GGA SCAN)

Data for In2As2Cl2O5 at its PBEsol-relaxed geometry.

The structure in POSCAR format:
```
In2As2Cl2O5
1.0
6.720 0.000 0.000
-1.588 7.331 0.000
-2.221 -3.522 8.017
In As Cl O
4 4 4 10
Cartesian
-0.883 0.552 3.805
0.401 4.455 2.721
2.510 -0.646 5.296
3.794 3.257 4.212
-0.792 -1.091 6.421
-0.390 3.571 6.064
3.301 0.238 1.954
3.703 4.900 1.596
0.539 1.844 2.219
0.623 5.034 0.343
2.287 -1.225 7.674
2.372 1.965 5.798
-1.727 4.526 2.797
-2.077 4.477 5.868
-1.080 2.393 4.919
0.372 -0.310 5.268
0.535 4.540 4.864
2.376 -0.730 3.153
2.539 4.119 2.750
3.991 1.417 3.098
4.988 -0.668 2.149
4.638 -0.716 5.221
```

Values from the calculation:
DOS(E_F), states/eV/f.u.: 0.00
E, eV/atom: -15.50
ΔE_f (raw), eV/f.u.: -16.3
Space-group type: P-1
V, Å³ per cell: 395.0



## MnSi2Br (meta-GGA SCAN)

Data for MnSi2Br at its PBEsol-relaxed geometry.

The structure in POSCAR format:
```
MnSi2Br
1.0
-1.415 2.156 5.376
1.415 -2.156 5.376
1.415 2.156 -5.376
Mn Si Br
1 2 1
Cartesian
0.000 0.000 0.000
1.415 0.000 2.194
0.000 2.156 3.182
0.000 0.000 5.376
```

Values from the calculation:
DOS(E_F), states/eV/f.u.: 1.90
E, eV/atom: -13.98
ΔE_f (raw), eV/f.u.: 1.8
Space-group type: Immm
V, Å³ per cell: 65.6
E above lowest polymorph, meV per atom: 0



## Na2SiBSbO7 (meta-GGA SCAN)

Data for Na2SiBSbO7 at its PBEsol-relaxed geometry.

The structure in POSCAR format:
```
Na2SiBSbO7
1.0
5.374 0.000 0.000
0.000 6.578 0.000
-0.679 0.000 9.469
Na Si B Sb O
4 2 2 2 14
Cartesian
1.083 6.576 2.914
1.083 3.290 2.914
3.612 0.001 6.555
3.612 3.288 6.555
0.804 1.644 8.872
3.892 4.933 0.596
1.079 4.933 5.570
3.616 1.644 3.899
0.564 4.933 8.028
4.131 1.644 1.440
-0.216 4.933 6.172
0.626 1.644 0.798
0.443 0.345 7.954
0.443 2.944 7.954
1.391 4.933 4.302
2.273 4.933 0.238
2.029 4.933 6.669
2.667 1.644 2.800
2.423 1.644 9.230
3.304 1.644 5.167
4.252 3.634 1.514
4.252 6.233 1.514
4.069 4.933 8.670
4.912 1.644 3.297
```

Values from the calculation:
DOS(E_F), states/eV/f.u.: 0.00
E, eV/atom: -11.15
ΔE_f (raw), eV/f.u.: -27.0
Space-group type: P2_1/m
V, Å³ per cell: 334.7



## BaSr2Pb (meta-GGA SCAN)

Data for BaSr2Pb at its PBEsol-relaxed geometry.

The structure in POSCAR format:
```
BaSr2Pb
1.0
0.000 4.307 4.307
4.307 0.000 4.307
4.307 4.307 0.000
Ba Sr Pb
1 2 1
Cartesian
0.000 0.000 0.000
2.154 2.154 2.154
4.307 4.307 4.307
6.461 6.461 6.461
```

Values from the calculation:
DOS(E_F), states/eV/f.u.: 3.25
DFT formation energy, eV per atom: -0.293
E, eV/atom: -40.26
Space-group type: F-43m
V, Å³ per cell: 159.8



## TaRe2Mo (meta-GGA SCAN)

Data for TaRe2Mo at its PBEsol-relaxed geometry.

The structure in POSCAR format:
```
TaRe2Mo
1.0
1.390 0.803 9.380
-1.390 0.803 9.380
0.000 -1.605 9.380
Ta Re Mo
1 2 1
Cartesian
0.000 0.000 0.000
0.000 0.000 13.960
0.000 0.000 21.203
0.000 0.000 6.871
```

Values from the calculation:
DOS(E_F), states/eV/f.u.: 3.08
DFT formation energy, eV per atom: 0.170
E, eV/atom: -60.75
Space-group type: R3m
V, Å³ per cell: 62.8
E above lowest polymorph, meV per atom: 402



## ZnSnO2 (meta-GGA SCAN)

Data for ZnSnO2 at its PBEsol-relaxed geometry.

The structure in POSCAR format:
```
ZnSnO2
1.0
1.569 0.906 6.176
-1.569 0.906 6.176
0.000 -1.811 6.176
Zn Sn O
1 1 2
Cartesian
0.000 0.000 0.000
0.000 0.000 9.263
0.000 0.000 7.235
0.000 0.000 11.291
```

Values from the calculation:
DOS(E_F), states/eV/f.u.: 0.63
E, eV/atom: -16.61
ΔE_f (raw), eV/f.u.: -4.5
Space-group type: R-3m
V, Å³ per cell: 52.6
E above lowest polymorph, meV per atom: 226



## Ni2AsPb (meta-GGA SCAN)

Data for Ni2AsPb at its PBEsol-relaxed geometry.

The structure in POSCAR format:
```
Ni2AsPb
1.0
3.142 0.000 0.000
0.000 3.142 0.000
0.000 0.000 6.735
Ni As Pb
2 1 1
Cartesian
0.000 0.000 0.000
1.571 1.571 1.306
1.571 1.571 5.721
0.000 0.000 2.931
```

Values from the calculation:
DOS(E_F), states/eV/f.u.: 2.20
DFT formation energy, eV per atom: 0.069
E, eV/atom: -32.01
Space-group type: P4mm
V, Å³ per cell: 66.5



## Li2TePb (meta-GGA SCAN)

Data for Li2TePb at its PBEsol-relaxed geometry.

The structure in POSCAR format:
```
Li2TePb
1.0
4.725 0.000 0.000
0.000 4.725 0.000
0.000 0.000 4.006
Li Te Pb
2 1 1
Cartesian
0.000 2.363 0.000
2.363 0.000 0.000
0.000 0.000 2.003
2.363 2.363 2.003
```

Values from the calculation:
DOS(E_F), states/eV/f.u.: 1.14
E, eV/atom: -30.01
ΔE_f (raw), eV/f.u.: -2.2
Space-group type: P4/mmm
V, Å³ per cell: 89.4
E above lowest polymorph, meV per atom: 43



## Mg2NCl (meta-GGA SCAN)

Data for Mg2NCl at its PBEsol-relaxed geometry.

The structure in POSCAR format:
```
Mg2NCl
1.0
-2.699 2.699 4.836
2.699 -2.699 4.836
2.699 2.699 -4.836
Mg N Cl
4 2 2
Cartesian
1.350 0.817 -1.209
1.882 -1.350 6.045
1.350 1.882 3.627
0.817 4.049 1.209
0.000 0.000 0.000
0.000 2.699 2.418
2.699 0.000 2.418
0.000 0.000 4.836
```

Values from the calculation:
DOS(E_F), states/eV/f.u.: 0.00
E, eV/atom: -8.08
ΔE_f (raw), eV/f.u.: -5.1
Space-group type: I-42d
V, Å³ per cell: 141.0



## CaMn2W (meta-GGA SCAN)

Data for CaMn2W at its PBEsol-relaxed geometry.

The structure in POSCAR format:
```
CaMn2W
1.0
1.501 0.867 8.541
-1.501 0.867 8.541
0.000 -1.733 8.541
Ca Mn W
1 2 1
Cartesian
0.000 0.000 0.000
0.000 0.000 6.048
0.000 0.000 19.576
0.000 0.000 12.812
```

Values from the calculation:
DOS(E_F), states/eV/f.u.: 4.02
DFT formation energy, eV per atom: 0.647
E, eV/atom: -28.32
Space-group type: R-3m
V, Å³ per cell: 66.7
E above lowest polymorph, meV per atom: 354



## CoMoPAu2 (meta-GGA SCAN)

Data for CoMoPAu2 at its PBEsol-relaxed geometry.

The structure in POSCAR format:
```
CoMoPAu2
1.0
4.944 0.000 0.000
0.000 4.944 0.000
0.000 0.000 4.248
Co Mo P Au
1 1 1 2
Cartesian
0.000 0.000 0.000
0.000 0.000 2.124
2.472 2.472 0.000
0.000 2.472 2.124
2.472 0.000 2.124
```

Values from the calculation:
DOS(E_F), states/eV/f.u.: 4.23
DFT formation energy, eV per atom: 1.691
E, eV/atom: -38.49
Space-group type: P4/mmm
V, Å³ per cell: 103.8